Record 1
A relaxed NaCeCrF6 crystal, computed with PBE+U.

a = 5.7793 Å, b = 5.7793 Å, c = 9.4748 Å
α = 90.00°, β = 90.00°, γ = 120.00°
Each line ends with the local moment (μB).
Element x y z (fractional)
1 F 0.6750 0.6331 0.6316  0.01
2 F 0.3669 0.3250 0.8684  0.01
3 F 0.9581 0.6331 0.8684  0.01
4 F 0.3250 0.9581 0.1316  0.01
5 F 0.3669 0.0419 0.6316  0.01
6 Ce 0.3333 0.6667 0.7500  -1.17
7 F 0.0419 0.3669 0.1316  0.01
8 Cr 0.3333 0.6667 0.2500  2.18
9 F 0.6750 0.0419 0.8684  0.01
10 Na 0.0000 0.0000 0.5000  0.00
11 F 0.3250 0.3669 0.3684  0.01
12 F 0.9581 0.3250 0.6316  0.01
13 F 0.6331 0.9581 0.3684  0.01
14 F 0.6331 0.6750 0.1316  0.01
15 Ce 0.6667 0.3333 0.2500  -1.17
16 Cr 0.6667 0.3333 0.7500  2.18
17 F 0.0419 0.6750 0.3684  0.01
18 Na 0.0000 0.0000 0.0000  0.00

Computed properties:
Spin magnetization in μB/f.u.: 1.0
V in Å³ per atom: 15.2
DFT total energy in eV for the cell shown: -105.27
Space-group type: No. 163



Record 2
A relaxed Rb2CeCr3F12 crystal, computed with PBE+U.

a = 7.3240 Å, b = 7.3240 Å, c = 7.3240 Å
α = 63.00°, β = 63.00°, γ = 63.00°
Each line ends with the local moment (μB).
Element x y z (fractional)
1 Ce 0.0000 0.0000 0.0000  1.01
2 F 0.9012 0.2832 0.2832  0.01
3 F 0.8833 0.3865 0.8833  0.00
4 F 0.1167 0.6135 0.1167  0.00
5 F 0.7168 0.0988 0.7168  0.01
6 F 0.0988 0.7168 0.7168  0.01
7 F 0.7168 0.7168 0.0988  0.01
8 Rb 0.6136 0.6136 0.6136  0.00
9 F 0.1167 0.1167 0.6135  0.00
10 Rb 0.3864 0.3864 0.3864  0.00
11 F 0.2832 0.2832 0.9012  0.01
12 Cr 0.5000 0.0000 0.0000  2.29
13 F 0.2832 0.9012 0.2832  0.01
14 Cr 0.0000 0.5000 0.0000  2.29
15 Cr 0.0000 0.0000 0.5000  2.29
16 F 0.3865 0.8833 0.8833  0.00
17 F 0.8833 0.8833 0.3865  0.00
18 F 0.6135 0.1167 0.1167  0.00

Computed properties:
Spin magnetization in μB/f.u.: 8.1
V in Å³ per atom: 16.5
DFT total energy in eV for the cell shown: -103.26
Space-group type: No. 166



Record 3
A relaxed CeTlCrF6 crystal, computed with PBE+U.

a = 6.1083 Å, b = 6.1083 Å, c = 11.2286 Å
α = 90.00°, β = 90.00°, γ = 120.00°
Each line ends with the local moment (μB).
Element x y z (fractional)
1 Cr 0.6667 0.3333 0.2500  3.92
2 Ce 0.3333 0.6667 0.2500  0.88
3 F 0.6163 0.6324 0.6483  -0.01
4 F 0.6324 0.6163 0.1483  -0.01
5 F 0.3676 0.3837 0.8517  -0.01
6 Tl 0.0000 0.0000 0.5000  0.00
7 F 0.0161 0.3837 0.6483  -0.01
8 F 0.0161 0.6324 0.8517  -0.01
9 F 0.3837 0.0161 0.1483  -0.01
10 F 0.9839 0.6163 0.3517  -0.01
11 Tl 0.0000 0.0000 0.0000  0.00
12 F 0.3837 0.3676 0.3517  -0.01
13 F 0.6163 0.9839 0.8517  -0.01
14 F 0.3676 0.9839 0.6483  -0.01
15 F 0.6324 0.0161 0.3517  -0.01
16 Cr 0.3333 0.6667 0.7500  3.92
17 Ce 0.6667 0.3333 0.7500  0.88
18 F 0.9839 0.3676 0.1483  -0.01

Computed properties:
Spin magnetization in μB/f.u.: 5.0
V in Å³ per atom: 20.2
DFT total energy in eV for the cell shown: -106.25
Space-group type: No. 163



Which of these has the highest spin magnetization? Rb2CeCr3F12



Which of these has the highest V? CeTlCrF6